Computed, not measured: an optimized crystal structure of La4Ga3Sn at the GGA-PBE level of DFT.

CIF file:
```
data_La4Ga3Sn
_chemical_formula_sum 'La4 Ga3 Sn1'
_cell_length_a 4.644
_cell_length_b 4.308
_cell_length_c 11.684
_cell_angle_alpha 90.00
_cell_angle_beta 90.00
_cell_angle_gamma 90.00
_space_group_name_H-M_alt 'P 1'
_space_group_IT_number 1
loop_
_space_group_symop_operation_xyz
'x,y,z'
loop_
_atom_site_label
_atom_site_type_symbol
_atom_site_fract_x
_atom_site_fract_y
_atom_site_fract_z
La1 La 0.500 0.500 0.369
La2 La 0.500 0.000 0.638
La3 La 0.000 0.500 0.853
La4 La 0.000 0.000 0.146
Ga1 Ga 0.500 0.000 0.919
Ga2 Ga 0.000 0.500 0.569
Ga3 Ga 0.000 0.000 0.433
Sn1 Sn 0.500 0.500 0.073
```

The space group is Pmm2 (25). For the energy of formation from the pure elements, the calculation gives -653 meV per atom.